Density functional theory data (PBE-GGA) for crystalline ZrScTc at its relaxed geometry.

Cell: 5.937 5.937 5.937 Å, 147.40 147.40 46.77°
Fractional coordinates of all 3 atoms:
Tc 0.329 0.329 0.000
Zr 0.696 0.696 0.000
Sc 0.976 0.976 0.000

## Properties
DOS(E_F) ... 2.48 states/eV/cell
VASP energy ... -25.930 eV/f.u.
DFT formation energy ... -0.23 eV per atom
V ... 60.50 Å³/cell
Relative energy among the computed polymorphs ... 0 meV per atom

Density functional theory data (PBE-GGA) for crystalline Tl5SiTe4Cl2 at its relaxed geometry.

Cell: 8.767 6.908 9.611 Å, 90.00 90.00 129.39°
Fractional coordinates of all 12 atoms:
Te 0.006 0.602 0.000
Te 0.404 0.398 0.000
Te 0.551 0.000 0.802
Te 0.551 0.000 0.198
Tl 0.744 0.622 0.746
Tl 0.123 0.378 0.254
Tl 0.744 0.622 0.254
Tl 0.123 0.378 0.746
Tl 0.410 0.000 0.500
Cl 0.992 0.589 0.500
Cl 0.403 0.411 0.500
Si 0.355 0.000 0.000

## Properties
DOS(E_F) ... 2.67 states/eV/cell
VASP energy ... -38.750 eV/f.u.
V ... 449.84 Å³/cell
Formation energy from raw total energies ... -436 meV per atom

Density functional theory data (PBE-GGA) for crystalline MgCrInNi at its relaxed geometry.

Cell: 4.505 4.505 4.505 Å, 60.00 60.00 60.00°
Each line ends with the local moment (μB).
Fractional coordinates of all 4 atoms:
In 0.250 0.250 0.250  -0.07
Mg 0.750 0.750 0.750  -0.01
Cr 0.500 0.500 0.500  3.31
Ni 0.000 0.000 0.000  0.04

## Properties
DOS(E_F) ... 2.47 states/eV/cell
VASP energy ... -19.389 eV/f.u.
DFT formation energy ... 0.09 eV per atom
V ... 64.65 Å³/cell

Density functional theory data (PBE-GGA) for crystalline TaMnAlNi at its relaxed geometry.

Cell: 4.233 4.233 4.233 Å, 60.00 60.00 60.00°
Each line ends with the local moment (μB).
Fractional coordinates of all 4 atoms:
Ta 0.750 0.750 0.750  -0.01
Mn 0.000 0.000 0.000  0.27
Al 0.250 0.250 0.250  0.00
Ni 0.500 0.500 0.500  0.16

## Properties
DOS(E_F) ... 3.33 states/eV/cell
VASP energy ... -31.764 eV/f.u.
DFT formation energy ... -0.30 eV per atom
V ... 53.65 Å³/cell

Density functional theory data (PBE-GGA) for crystalline BaTlPd3 at its relaxed geometry.

Cell: 5.700 9.308 7.202 Å, 130.26 113.31 90.00°
Fractional coordinates of all 10 atoms:
Pd 0.236 0.236 0.973
Pd 0.736 0.236 0.973
Pd 0.264 0.764 0.027
Pd 0.750 0.082 0.500
Pd 0.764 0.764 0.027
Pd 0.250 0.918 0.500
Ba 0.750 0.709 0.500
Ba 0.250 0.291 0.500
Tl 0.500 0.000 0.000
Tl 0.000 0.500 0.000

## Properties
DOS(E_F) ... 3.39 states/eV/cell
VASP energy ... -21.902 eV/f.u.
DFT formation energy ... -0.41 eV per atom
V ... 249.34 Å³/cell
Relative energy among the computed polymorphs ... 0 meV per atom

Density functional theory data (PBE-GGA) for crystalline ZnAgH2 at its relaxed geometry.

Cell: 3.910 3.910 3.910 Å, 60.00 60.00 60.00°
Fractional coordinates of all 4 atoms:
H 0.250 0.250 0.250
H 0.750 0.750 0.750
Ag 0.500 0.500 0.500
Zn 0.000 0.000 0.000

## Properties
DOS(E_F) ... 0.92 states/eV/cell
VASP energy ... -8.002 eV/f.u.
V ... 42.26 Å³/cell
Relative energy among the computed polymorphs ... 348 meV per atom

Density functional theory data (PBE-GGA) for crystalline KBaZn2 at its relaxed geometry.

Cell: 5.534 5.534 5.534 Å, 60.00 60.00 60.00°
Fractional coordinates of all 4 atoms:
Ba 0.500 0.500 0.500
Zn 0.250 0.250 0.250
Zn 0.000 0.000 0.000
K 0.750 0.750 0.750

## Properties
DOS(E_F) ... 3.88 states/eV/cell
VASP energy ... -4.951 eV/f.u.
DFT formation energy ... 0.15 eV per atom
V ... 119.86 Å³/cell
Relative energy among the computed polymorphs ... 184 meV per atom

Density functional theory data (PBE-GGA) for crystalline Mn2InS4 at its relaxed geometry.

Cell: 6.683 6.683 7.639 Å, 115.94 115.94 90.00°
Each line ends with the local moment (μB).
Fractional coordinates of all 14 atoms:
In 0.000 0.000 0.000  -0.05
In 0.750 0.250 0.500  -0.05
S 0.594 0.648 0.596  -0.04
S 0.156 0.602 0.904  -0.04
S 0.748 0.302 0.904  -0.04
S 0.352 0.998 0.404  -0.04
S 0.398 0.252 0.096  -0.04
S 0.002 0.948 0.596  -0.04
S 0.052 0.406 0.404  -0.04
S 0.698 0.844 0.096  -0.04
Mn 0.375 0.625 0.750  3.37
Mn 0.375 0.625 0.250  3.37
Mn 0.375 0.125 0.750  3.37
Mn 0.875 0.625 0.250  3.37

## Properties
DOS(E_F) ... 3.03 states/eV/cell
VASP energy ... -40.461 eV/f.u.
V ... 268.03 Å³/cell
Formation energy from raw total energies ... -411 meV per atom
Relative energy among the computed polymorphs ... 134 meV per atom

Density functional theory data (PBE-GGA) for crystalline Co5Ir6Rh at its relaxed geometry.

Cell: 3.772 7.313 6.992 Å, 121.53 105.65 90.00°
Each line ends with the local moment (μB).
Fractional coordinates of all 12 atoms:
Ir 0.168 0.913 0.337  0.14
Ir 0.832 0.577 0.663  0.14
Ir 0.500 0.740 0.000  0.14
Ir 0.500 0.260 0.000  0.14
Ir 0.832 0.087 0.663  0.14
Ir 0.168 0.423 0.337  0.14
Co 0.000 0.500 0.000  1.30
Co 0.333 0.833 0.667  1.31
Co 0.667 0.167 0.333  1.31
Co 0.331 0.331 0.663  0.79
Co 0.669 0.669 0.337  0.79
Rh 0.000 0.000 0.000  0.15

## Properties
DOS(E_F) ... 15.32 states/eV/cell
VASP energy ... -95.557 eV/f.u.
DFT formation energy ... 0.04 eV per atom
V ... 155.96 Å³/cell

Density functional theory data (PBE-GGA) for crystalline Nb4SiB2 at its relaxed geometry.

Cell: 3.451 3.451 10.360 Å, 80.41 80.41 60.00°
Fractional coordinates of all 7 atoms:
Nb 0.614 0.614 0.157
Nb 0.206 0.206 0.383
Nb 0.794 0.794 0.617
Nb 0.386 0.386 0.843
B 0.092 0.092 0.724
B 0.908 0.908 0.276
Si 0.000 0.000 0.000

## Properties
DOS(E_F) ... 2.48 states/eV/cell
VASP energy ... -61.190 eV/f.u.
V ... 104.87 Å³/cell
Formation energy from raw total energies ... -305 meV per atom

Density functional theory data (PBE-GGA) for crystalline CaMn3Ni at its relaxed geometry.

Cell: 4.609 4.609 4.609 Å, 90.00 90.00 90.00°
Each line ends with the local moment (μB).
Fractional coordinates of all 5 atoms:
Mn 0.000 0.500 0.000  3.58
Mn 0.000 0.000 0.500  3.03
Mn 0.500 0.000 0.000  3.96
Ca 0.000 0.000 0.000  -0.15
Ni 0.500 0.500 0.500  0.48

## Properties
DOS(E_F) ... 3.25 states/eV/cell
VASP energy ... -25.086 eV/f.u.
DFT formation energy ... 2.04 eV per atom
V ... 97.92 Å³/cell
Relative energy among the computed polymorphs ... 1525 meV per atom

Density functional theory data (PBE-GGA) for crystalline Rb6SrBr8 at its relaxed geometry.

Cell: 9.046 9.046 9.046 Å, 68.72 68.72 68.72°
Fractional coordinates of all 15 atoms:
Br 0.096 0.832 0.326
Br 0.340 0.340 0.340
Br 0.326 0.096 0.832
Br 0.660 0.660 0.660
Br 0.168 0.674 0.904
Br 0.832 0.326 0.096
Br 0.674 0.904 0.168
Br 0.904 0.168 0.674
Rb 0.693 0.062 0.486
Rb 0.514 0.307 0.938
Rb 0.062 0.486 0.693
Rb 0.307 0.938 0.514
Rb 0.938 0.514 0.307
Rb 0.486 0.693 0.062
Sr 0.000 0.000 0.000

## Properties
DOS(E_F) ... 0.00 states/eV/cell
VASP energy ... -47.881 eV/f.u.
V ... 619.61 Å³/cell
Formation energy from raw total energies ... -1801 meV per atom

Density functional theory data (PBE-GGA) for crystalline TmZr2Ru4 at its relaxed geometry.

Cell: 5.559 5.559 5.559 Å, 109.76 109.33 109.33°
Fractional coordinates of all 7 atoms:
Ru 0.000 0.500 0.000
Ru 0.500 0.500 0.500
Ru 0.000 0.000 0.500
Ru 0.500 0.000 0.000
Zr 0.500 0.500 0.000
Zr 0.500 0.000 0.500
Tm 0.000 0.000 0.000

## Properties
DOS(E_F) ... 6.40 states/eV/cell
VASP energy ... -58.401 eV/f.u.
DFT formation energy ... 0.04 eV per atom
V ... 132.24 Å³/cell

Density functional theory data (PBE-GGA) for crystalline UPaIr at its relaxed geometry.

Cell: 2.813 4.836 4.836 Å, 120.00 90.00 90.00°
Fractional coordinates of all 3 atoms:
U 0.167 0.667 0.333
Pa 0.167 0.000 0.000
Ir 0.667 0.333 0.667

## Properties
DOS(E_F) ... 5.68 states/eV/cell
VASP energy ... -30.421 eV/f.u.
DFT formation energy ... -0.26 eV per atom
V ... 56.98 Å³/cell
Relative energy among the computed polymorphs ... 176 meV per atom

Density functional theory data (PBE-GGA) for crystalline Zr2CrTe at its relaxed geometry.

Cell: 9.161 9.161 9.161 Å, 21.57 21.57 21.57°
Each line ends with the local moment (μB).
Fractional coordinates of all 4 atoms:
Cr 0.498 0.498 0.498  3.36
Zr 0.004 0.004 0.004  0.21
Zr 0.246 0.246 0.246  -0.10
Te 0.752 0.752 0.752  -0.07

## Properties
DOS(E_F) ... 3.43 states/eV/cell
VASP energy ... -29.223 eV/f.u.
V ... 91.03 Å³/cell
Formation energy from raw total energies ... 160 meV per atom

Density functional theory data (PBE-GGA) for crystalline RbAu2 at its relaxed geometry.

Cell: 5.963 5.963 5.963 Å, 60.00 60.00 60.00°
Fractional coordinates of all 6 atoms:
Au 0.625 0.625 0.125
Au 0.625 0.125 0.625
Au 0.625 0.625 0.625
Au 0.125 0.625 0.625
Rb 0.250 0.250 0.250
Rb 0.000 0.000 0.000

## Properties
DOS(E_F) ... 0.96 states/eV/cell
VASP energy ... -8.151 eV/f.u.
DFT formation energy ... -0.21 eV per atom
V ... 149.92 Å³/cell

Density functional theory data (PBE-GGA) for crystalline TbNd5Tm6 at its relaxed geometry.

Cell: 5.091 9.971 9.461 Å, 121.80 105.62 89.99°
Fractional coordinates of all 12 atoms:
Tm 0.834 0.083 0.667
Tm 0.500 0.751 0.000
Tm 0.500 0.249 0.000
Tm 0.834 0.584 0.667
Tm 0.166 0.917 0.333
Tm 0.166 0.416 0.333
Nd 0.667 0.667 0.333
Nd 0.333 0.333 0.667
Nd 0.000 0.500 0.000
Nd 0.665 0.165 0.331
Nd 0.335 0.835 0.669
Tb 0.000 0.000 0.000

## Properties
DOS(E_F) ... 16.15 states/eV/cell
VASP energy ... -55.050 eV/f.u.
DFT formation energy ... 0.02 eV per atom
V ... 387.12 Å³/cell

Density functional theory data (PBE-GGA) for crystalline BaZrRe at its relaxed geometry.

Cell: 4.785 4.785 4.785 Å, 60.00 60.00 60.00°
Each line ends with the local moment (μB).
Fractional coordinates of all 3 atoms:
Re 0.000 0.000 0.000  0.86
Zr 0.500 0.500 0.500  -0.10
Ba 0.750 0.750 0.750  -0.02

## Properties
DOS(E_F) ... 5.41 states/eV/cell
VASP energy ... -16.513 eV/f.u.
DFT formation energy ... 2.14 eV per atom
V ... 77.48 Å³/cell
Relative energy among the computed polymorphs ... 1627 meV per atom

Density functional theory data (PBE-GGA) for crystalline K2YTa at its relaxed geometry.

Cell: 10.901 10.901 5.024 Å, 76.58 76.58 17.28°
Each line ends with the local moment (μB).
Fractional coordinates of all 4 atoms:
Y 0.250 0.250 0.250  0.03
Ta 0.750 0.750 0.750  0.30
K 0.406 0.406 0.594  0.01
K 0.094 0.094 0.906  0.01

## Properties
DOS(E_F) ... 3.95 states/eV/cell
VASP energy ... -16.968 eV/f.u.
DFT formation energy ... 0.89 eV per atom
V ... 172.40 Å³/cell
Relative energy among the computed polymorphs ... 200 meV per atom

Density functional theory data (PBE-GGA) for crystalline LaPm3PrTm at its relaxed geometry.

Cell: 5.183 8.149 10.944 Å, 116.54 90.00 90.00°
Fractional coordinates of all 12 atoms:
Tm 0.750 0.382 0.878
Tm 0.250 0.618 0.122
Pr 0.750 0.871 0.372
Pr 0.250 0.129 0.628
Pm 0.750 0.377 0.544
Pm 0.250 0.624 0.795
Pm 0.250 0.623 0.456
Pm 0.250 0.131 0.960
Pm 0.750 0.869 0.040
Pm 0.750 0.376 0.205
La 0.750 0.877 0.711
La 0.250 0.123 0.289

## Properties
DOS(E_F) ... 18.49 states/eV/cell
VASP energy ... -28.303 eV/f.u.
DFT formation energy ... 0.02 eV per atom
V ... 413.49 Å³/cell